(1)
LaTiCu: relaxed, PBE.

POSCAR file:
```
LaTiCu
1.0
0.0000 3.2828 3.2828
3.2828 0.0000 3.2828
3.2828 3.2828 0.0000
Ti Cu La
1 1 1
Direct
0.2500 0.2500 0.2500
0.7500 0.7500 0.7500
0.0000 0.0000 0.0000
```

Calculated values
Energy of formation from the pure elements (eV/f.u.): 2.95
Space-group type: F-43m
Total magnetization (μB/cell): 0.00
E above lowest polymorph (meV/atom): 970

=====

(2)
NaNp4O12: relaxed, PBE.

POSCAR file:
```
NaNp4O12
1.0
6.7086 -0.0244 -2.4273
-3.3411 5.8424 -2.3668
-0.0078 0.0244 7.1342
Na Np O
1 4 12
Direct
0.0000 0.5000 0.5000
0.5000 0.0000 0.0000
0.0000 0.5000 0.0000
0.0000 0.0000 0.5000
0.5000 0.5000 0.5000
0.2108 0.7361 0.9469
0.0393 0.7550 0.2844
0.4706 0.7550 0.7156
0.2788 0.0555 0.7767
0.7212 0.4980 0.7767
0.2108 0.2639 0.4747
0.7892 0.7361 0.5253
0.7212 0.9445 0.2233
0.2788 0.5020 0.2233
0.5294 0.2450 0.2844
0.9607 0.2450 0.7156
0.7892 0.2639 0.0531
```

Calculated values
Uncorrected formation energy (meV per atom): -2717
Space-group type: Immm
Total magnetization (μB/cell): 5.00

=====

(3)
AsIrS: relaxed, PBE.

POSCAR file:
```
AsIrS
1.0
-3.8116 -0.6563 -3.6887
2.4865 -0.3115 -2.5140
0.1810 -5.7757 0.8948
As Ir S
2 2 2
Direct
0.7067 0.0000 0.6430
0.1406 0.0000 0.9510
0.4612 0.5000 0.8455
0.4617 0.0000 0.2626
0.2628 0.5000 0.4673
0.7413 0.5000 0.1481
```

Calculated values
Uncorrected formation energy (meV per atom): -194
Space-group type: Pm
Total magnetization (μB/cell): 0.00

=====

(4)
BiB2O: relaxed, PBE.

POSCAR file:
```
BiB2O
1.0
3.6769 -1.7689 -1.0997
0.1086 -4.0254 -1.2815
0.7799 -0.9068 -4.0530
B Bi O
2 1 1
Direct
0.2500 0.2500 0.2500
0.7500 0.7500 0.7500
0.5000 0.5000 0.5000
0.0000 0.0000 0.0000
```

Calculated values
Uncorrected formation energy (meV per atom): 1737
Space-group type: Fm-3m
Total magnetization (μB/cell): 0.00
E above lowest polymorph (meV/atom): 960

=====

(5)
CsCrBr4: relaxed, PBE.

POSCAR file:
```
CsCrBr4
1.0
-5.6680 2.5881 2.7770
-2.9695 0.1233 -6.1766
1.4805 -9.1611 3.1736
Cs Cr Br
2 2 8
Direct
0.7872 0.7500 0.0002
0.2128 0.2500 0.9998
0.5000 0.0000 0.5000
0.0000 0.5000 0.5000
0.5746 0.1334 0.7898
0.7846 0.3665 0.2102
0.4254 0.8666 0.2102
0.2154 0.6335 0.7898
0.8546 0.8536 0.5625
0.2920 0.6464 0.4374
0.1454 0.1464 0.4375
0.7080 0.3536 0.5626
```

Calculated values
Uncorrected formation energy (meV per atom): -1050
Space-group type: C2/c
Total magnetization (μB/cell): 6.00
E above lowest polymorph (meV/atom): 9

=====

(6)
Ca2MnAl: relaxed, PBE.

POSCAR file:
```
Ca2MnAl
1.0
5.1047 0.4312 -0.0020
-0.4306 5.1048 -0.0020
0.0014 0.0017 3.9136
Ca Mn Al
2 1 1
Direct
0.0000 0.0000 0.0000
0.5000 0.5000 0.0000
0.5000 0.0000 0.5000
0.0000 0.5000 0.5000
```

Calculated values
Energy of formation from the pure elements (eV/f.u.): 0.67
Space-group type: P4/mmm
Total magnetization (μB/cell): 4.28

=====

(7)
CsTbTc2O8: relaxed, PBE.

POSCAR file:
```
CsTbTc2O8
1.0
6.0510 0.0000 0.0000
-3.0255 5.2404 0.0000
0.0000 0.0000 8.4571
Cs Tb Tc O
1 1 2 8
Direct
0.0000 0.0000 0.0000
0.0000 0.0000 0.5000
0.6667 0.3333 0.2665
0.3333 0.6667 0.7335
0.3333 0.6667 0.9403
0.3436 0.1746 0.3378
0.8254 0.1690 0.3378
0.6667 0.3333 0.0597
0.1746 0.8310 0.6622
0.6564 0.8254 0.6622
0.1690 0.3436 0.6622
0.8310 0.6564 0.3378
```

Calculated values
Uncorrected formation energy (meV per atom): -1944
Space-group type: P-3
Total magnetization (μB/cell): 2.03

=====

(8)
CdH6CBr3N3: relaxed, PBE.

POSCAR file:
```
CdH6CBr3N3
1.0
-6.6160 -4.4897 4.6290
7.3340 -3.4577 -4.4286
4.0599 -1.8771 6.0389
Cd H C Br N
2 12 2 6 6
Direct
0.9525 0.0475 0.7500
0.0475 0.9525 0.2500
0.3769 0.5606 0.9149
0.4394 0.6231 0.5851
0.3057 0.6706 0.0253
0.3294 0.6943 0.4747
0.7956 0.1892 0.3689
0.8108 0.2044 0.1311
0.1892 0.7956 0.8689
0.2044 0.8108 0.6311
0.6706 0.3057 0.5253
0.6943 0.3294 0.9747
0.5606 0.3769 0.4149
0.6231 0.4394 0.0851
0.3079 0.6921 0.7500
0.6921 0.3079 0.2500
0.1990 0.2686 0.3657
0.7314 0.8010 0.1343
0.7947 0.2053 0.7500
0.2053 0.7947 0.2500
0.2686 0.1990 0.8657
0.8010 0.7314 0.6343
0.3356 0.6398 0.9078
0.3602 0.6644 0.5922
0.7724 0.2276 0.2500
0.2276 0.7724 0.7500
0.6398 0.3356 0.4078
0.6644 0.3602 0.0922
```

Calculated values
Space-group type: C2/c
Total magnetization (μB/cell): 0.00
E above lowest polymorph (meV/atom): 9

=====

(9)
Ti3CoPb: relaxed, PBE.

POSCAR file:
```
Ti3CoPb
1.0
3.6043 0.0000 0.0000
0.0000 7.2763 -3.4927
0.0000 -0.8733 7.3421
Ti Co Pb
6 2 2
Direct
0.2500 0.0992 0.2908
0.7500 0.9008 0.7092
0.7500 0.4141 0.5703
0.2500 0.5859 0.4297
0.2500 0.2754 0.7831
0.7500 0.7246 0.2169
0.2500 0.8912 0.4785
0.7500 0.1088 0.5215
0.7500 0.2891 0.1113
0.2500 0.7109 0.8887
```

Calculated values
Energy of formation from the pure elements (eV/f.u.): -0.58
Space-group type: P2_1/m
Total magnetization (μB/cell): 0.00
E above lowest polymorph (meV/atom): 0

=====

(10)
BaCdO2F: relaxed, PBE.

POSCAR file:
```
BaCdO2F
1.0
-3.5948 -3.0736 -0.7683
2.3639 -3.3757 2.4447
-2.1552 1.4866 4.1367
F Ba O Cd
1 1 2 1
Direct
0.0000 0.0000 0.5000
0.0000 0.0000 0.0000
0.0000 0.5000 0.0000
0.5000 0.0000 0.0000
0.5000 0.5000 0.5000
```

Calculated values
Uncorrected formation energy (meV per atom): -928
Space-group type: P4/mmm
Total magnetization (μB/cell): 0.74

=====

(11)
Lu3Cd: relaxed, PBE.

POSCAR file:
```
Lu3Cd
1.0
-2.7528 2.6204 2.8235
1.1510 -2.7523 3.6765
4.5170 2.9206 -2.2764
Lu Cd
3 1
Direct
0.7500 0.2500 0.5000
0.2500 0.7500 0.5000
0.5000 0.5000 0.0000
0.0000 0.0000 0.0000
```

Calculated values
Energy of formation from the pure elements (eV/f.u.): -0.19
Space-group type: I4/mmm
Total magnetization (μB/cell): 0.01
E above lowest polymorph (meV/atom): 84

=====

(12)
BaY2ZnRe: relaxed, PBE.

POSCAR file:
```
BaY2ZnRe
1.0
5.3963 0.0000 0.0000
0.0000 5.3006 0.0000
0.0000 0.0000 5.3963
Y Re Zn Ba
2 1 1 1
Direct
0.0000 0.0000 0.5000
0.5000 0.0000 0.0000
0.0000 0.0000 0.0000
0.0000 0.5000 0.0000
0.5000 0.5000 0.5000
```

Calculated values
Energy of formation from the pure elements (eV/f.u.): 1.40
Space-group type: P4/mmm
Total magnetization (μB/cell): 0.00

=====

What did the second record say?
NaNp4O12: relaxed, PBE.

POSCAR file:
```
NaNp4O12
1.0
6.7086 -0.0244 -2.4273
-3.3411 5.8424 -2.3668
-0.0078 0.0244 7.1342
Na Np O
1 4 12
Direct
0.0000 0.5000 0.5000
0.5000 0.0000 0.0000
0.0000 0.5000 0.0000
0.0000 0.0000 0.5000
0.5000 0.5000 0.5000
0.2108 0.7361 0.9469
0.0393 0.7550 0.2844
0.4706 0.7550 0.7156
0.2788 0.0555 0.7767
0.7212 0.4980 0.7767
0.2108 0.2639 0.4747
0.7892 0.7361 0.5253
0.7212 0.9445 0.2233
0.2788 0.5020 0.2233
0.5294 0.2450 0.2844
0.9607 0.2450 0.7156
0.7892 0.2639 0.0531
```

Calculated values
Uncorrected formation energy (meV per atom): -2717
Space-group type: Immm
Total magnetization (μB/cell): 5.00

=====

Question: Look up the total magnetization of the fourth one.
Answer: 0.00 μB/cell

=====

Question: What is the formula in the tenth record?
Answer: BaCdO2F